(1)
Here is a geometry-optimized Ba2ZrCo structure from Alexandria. Energies are from GGA-PBE.

Output
Its energy above the most stable polymorph in this dataset is 59.6 kJ/mol of atoms. The energy relative to the elements comes out at 0.87 eV per atom.

```
data_Ba2ZrCo
_chemical_formula_sum 'Ba6 Zr3 Co3'
_cell_length_a 3.6997
_cell_length_b 3.6997
_cell_length_c 31.7005
_cell_angle_alpha 90.00
_cell_angle_beta 90.00
_cell_angle_gamma 120.00
_space_group_name_H-M_alt 'R -3 m'
_space_group_IT_number 166
_space_group_name_Hall '-R 3 2"'
loop_
_atom_site_label
_atom_site_fract_x
_atom_site_fract_y
_atom_site_fract_z
Ba1 0.0000 0.0000 0.2362
Zr1 0.0000 0.0000 0.0000
Co1 0.0000 0.0000 0.5000
```



(2)
Here is a geometry-optimized Rb3Ag2Hg3 structure from Alexandria. Energies are from GGA-PBE.

Output
The energy relative to the elements comes out at -0.13 eV per atom.

```
data_Rb3Ag2Hg3
_chemical_formula_sum 'Rb12 Ag8 Hg12'
_cell_length_a 5.174
_cell_length_b 12.608
_cell_length_c 17.383
_cell_angle_alpha 90.00
_cell_angle_beta 90.00
_cell_angle_gamma 90.00
_space_group_name_H-M_alt 'C m c m'
_space_group_IT_number 63
_space_group_name_Hall '-C 2c 2'
loop_
_atom_site_label
_atom_site_fract_x
_atom_site_fract_y
_atom_site_fract_z
Rb1 0.000 0.081 0.105
Rb2 0.000 0.378 0.250
Ag1 0.000 0.212 0.601
Hg1 0.000 0.325 0.750
Hg2 0.000 0.369 0.036
```



(3)
Here is a geometry-optimized CaNd12Al4N3 structure from Alexandria. Energies are from GGA-PBE.

Output
As for the uncorrected formation energy: -0.319 eV/atom.

```
data_CaNd12Al4N3
_chemical_formula_sum 'Ca2 Nd24 Al8 N6'
_cell_length_a 10.137
_cell_length_b 10.137
_cell_length_c 10.137
_cell_angle_alpha 90.00
_cell_angle_beta 90.00
_cell_angle_gamma 90.00
_space_group_name_H-M_alt 'I m -3 m'
_space_group_IT_number 229
_space_group_name_Hall '-I 4 2 3'
loop_
_atom_site_label
_atom_site_fract_x
_atom_site_fract_y
_atom_site_fract_z
Ca1 0.000 0.000 0.000
Nd1 0.000 0.000 0.270
Nd2 0.000 0.250 0.500
Al1 0.250 0.250 0.250
N1 0.000 0.000 0.500
```



(4)
Here is a geometry-optimized KAl2Ir structure from Alexandria. Energies are from GGA-PBE.

Output
Its energy above the most stable polymorph in this dataset is 74.5 kJ/mol of atoms. The energy relative to the elements comes out at 0.57 eV per atom.

```
data_KAl2Ir
_chemical_formula_sum 'K1 Al2 Ir1'
_cell_length_a 5.514
_cell_length_b 2.698
_cell_length_c 5.645
_cell_angle_alpha 90.00
_cell_angle_beta 113.58
_cell_angle_gamma 90.00
_space_group_name_H-M_alt 'P 1 2/m 1'
_space_group_IT_number 10
_space_group_name_Hall '-P 2y'
loop_
_atom_site_label
_atom_site_fract_x
_atom_site_fract_y
_atom_site_fract_z
K1 0.000 0.000 0.000
Al1 0.500 0.000 0.500
Al2 0.500 0.500 0.000
Ir1 0.000 0.500 0.500
```



no.,electronic total energy (eV per atom),magnetization (μB/f.u.)
1,-4.0038,2.423
2,-1.3231,0.000
3,-5.2773,0.000
4,-3.7915,0.000